# ZnSbN3

An optimized crystal structure of ZnSbN3 (GGA-PBE, the Alexandria database).

Properties
Formation energy without anion corrections: 1.766 eV per atom
Crystal system: cubic
Calculated volume: 12.09 Å³ per atom

Cell lengths 3.924, 3.924, 3.924 Å; angles 90.00, 90.00, 90.00 degrees
Space group Pm-3m (No. 221)
Symmetry-distinct sites (fractional):
Zn: 0.000 0.000 0.000
Sb: 0.500 0.500 0.500
N: 0.000 0.000 0.500